## GeMoN2O (PBE+U)

Data for crystalline GeMoN2O at its relaxed geometry.

Properties
crystal system	tetragonal
magnetic moment	2.04	μB/f.u.
E	-6.161	eV/atom

Lattice parameters (Å, degrees): 3.865 3.865 3.655 90.00 90.00 90.00
Atoms (fractional coordinates):
Ge1 0.000 0.000 0.000
Mo1 0.500 0.500 0.500
N1 0.000 0.500 0.000
N2 0.500 0.000 0.000
O1 0.000 0.000 0.500